Below is a relaxed BaNaAgAu crystal, with properties calculated at the PBE level.

Lattice parameters (Å, degrees): 8.743 5.047 6.143 90.00 118.41 90.00
Space group Cm (No. 8)
Unique sites:
Ba1 0.000 0.000 0.000
Na1 0.004 0.500 0.511
Ag1 0.290 0.500 0.372
Au1 0.211 0.000 0.632

Output
magnetization = 0.0 Bohr magnetons per cell
DOS(E_F) = 1.34 states/eV/f.u.
formation enthalpy at 0 K = -0.36 eV per atom
raw total energy = -2.706 eV per atom

***

Below is a relaxed BaNdAgAu crystal, with properties calculated at the PBE level.

Lattice parameters (Å, degrees): 7.779 7.779 7.779 90.00 90.00 90.00
Space group F-43m (No. 216)
Unique sites:
Ba1 0.000 0.000 0.000
Nd1 0.000 0.000 0.500
Ag1 0.250 0.250 0.250
Au1 0.250 0.250 0.750

Output
magnetization = 0.0 Bohr magnetons per cell
DOS(E_F) = 4.22 states/eV/f.u.
formation enthalpy at 0 K = -0.36 eV per atom
raw total energy = -3.567 eV per atom

***

Below is a relaxed Ba8NiAgAu2 crystal, with properties calculated at the PBE level.

Lattice parameters (Å, degrees): 7.645 9.706 7.896 90.00 90.32 90.00
Space group P2/m (No. 10)
Unique sites:
Ba1 0.224 0.233 0.172
Ba2 0.261 0.000 0.685
Ba3 0.275 0.500 0.669
Ni1 0.000 0.000 0.000
Ag1 0.000 0.500 0.000
Au1 0.500 0.245 0.500

Output
magnetization = 0.0 Bohr magnetons per cell
DOS(E_F) = 9.10 states/eV/f.u.
formation enthalpy at 0 K = -0.29 eV per atom
raw total energy = -2.834 eV per atom

***

Below is a relaxed Ba4AgAuO6 crystal, with properties calculated at the PBE level.

Lattice parameters (Å, degrees): 13.405 5.900 11.630 90.00 90.00 90.00
Space group Cmcm (No. 63)
Unique sites:
Ba1 0.146 0.000 0.000
Ba2 0.146 0.436 0.250
Ag1 0.000 0.092 0.750
Au1 0.000 0.500 0.000
O1 0.000 0.230 0.109
O2 0.155 0.500 0.000
O3 0.160 0.098 0.750

Output
magnetization = 0.0 Bohr magnetons per cell
DOS(E_F) = 0.00 states/eV/f.u.
raw total energy = -5.474 eV per atom

***

Below is a relaxed Ba6Ag2AuO crystal, with properties calculated at the PBE level.

Lattice parameters (Å, degrees): 7.849 8.647 13.695 90.00 123.48 90.00
Space group P2_1/c (No. 14)
Unique sites:
Ba1 0.107 0.030 0.229
Ba2 0.217 0.700 0.059
Ba3 0.362 0.169 0.058
Ag1 0.298 0.104 0.753
Au1 0.500 0.000 0.500
O1 0.000 0.000 0.000

Output
magnetization = 0.0 Bohr magnetons per cell
DOS(E_F) = 6.72 states/eV/f.u.
raw total energy = -3.255 eV per atom

***

Below is a relaxed Ba2AgPb4Au3 crystal, with properties calculated at the PBE level.

Lattice parameters (Å, degrees): 5.007 5.007 11.751 90.00 90.00 90.00
Space group P-4m2 (No. 115)
Unique sites:
Ba1 0.000 0.500 0.239
Ag1 0.500 0.500 0.000
Pb1 0.000 0.000 0.500
Pb2 0.000 0.500 0.876
Pb3 0.500 0.500 0.500
Au1 0.000 0.000 0.000
Au2 0.000 0.500 0.635

Output
magnetization = 0.0 Bohr magnetons per cell
DOS(E_F) = 4.26 states/eV/f.u.
formation enthalpy at 0 K = -0.41 eV per atom
raw total energy = -3.545 eV per atom

***

Below is a relaxed Ba6AgPdAu2 crystal, with properties calculated at the PBE level.

Lattice parameters (Å, degrees): 8.195 8.196 9.023 63.00 63.01 60.06
Space group P1 (No. 1)
Unique sites:
Ba1 0.000 0.000 0.000
Ba2 0.152 0.518 0.484
Ba3 0.308 0.326 0.999
Ba4 0.479 0.843 0.485
Ba5 0.634 0.692 0.000
Ba6 0.828 0.170 0.485
Ag1 0.732 0.423 0.748
Pd1 0.231 0.922 0.249
Au1 0.405 0.097 0.726
Au2 0.900 0.591 0.243

Output
magnetization = 0.0 Bohr magnetons per cell
DOS(E_F) = 6.42 states/eV/f.u.
formation enthalpy at 0 K = -0.45 eV per atom
raw total energy = -3.067 eV per atom

***

Below is a relaxed BaAgPdAu3 crystal, with properties calculated at the PBE level.

Lattice parameters (Å, degrees): 7.177 13.610 5.859 90.00 90.00 90.00
Space group Cmcm (No. 63)
Unique sites:
Ba1 0.000 0.206 0.250
Ag1 0.000 0.442 0.250
Pd1 0.000 0.145 0.750
Au1 0.000 0.347 0.750
Au2 0.195 0.000 0.000

Output
magnetization = 0.0 Bohr magnetons per cell
DOS(E_F) = 0.97 states/eV/f.u.
formation enthalpy at 0 K = -0.25 eV per atom
raw total energy = -3.553 eV per atom

***

Below is a relaxed Ba8Ag2PdAu crystal, with properties calculated at the PBE level.

Lattice parameters (Å, degrees): 7.720 9.708 7.990 90.00 90.04 90.00
Space group P2/m (No. 10)
Unique sites:
Ba1 0.228 0.243 0.165
Ba2 0.252 0.000 0.680
Ba3 0.260 0.500 0.673
Ag1 0.500 0.247 0.500
Pd1 0.000 0.000 0.000
Au1 0.000 0.500 0.000

Output
magnetization = 0.0 Bohr magnetons per cell
DOS(E_F) = 9.61 states/eV/f.u.
formation enthalpy at 0 K = -0.31 eV per atom
raw total energy = -2.771 eV per atom

***

Below is a relaxed BaAgPdAu crystal, with properties calculated at the PBE level.

Lattice parameters (Å, degrees): 8.249 4.757 6.059 90.00 116.64 90.00
Space group Cm (No. 8)
Unique sites:
Ba1 0.000 0.000 0.000
Ag1 0.002 0.500 0.506
Pd1 0.193 0.000 0.580
Au1 0.302 0.500 0.405

Output
magnetization = 0.0 Bohr magnetons per cell
DOS(E_F) = 1.27 states/eV/f.u.
formation enthalpy at 0 K = -0.42 eV per atom
raw total energy = -3.736 eV per atom

***

Below is a relaxed BaPmAgAu crystal, with properties calculated at the PBE level.

Lattice parameters (Å, degrees): 7.755 7.755 7.755 90.00 90.00 90.00
Space group F-43m (No. 216)
Unique sites:
Ba1 0.000 0.000 0.000
Pm1 0.000 0.000 0.500
Ag1 0.250 0.250 0.750
Au1 0.250 0.250 0.250

Output
magnetization = 0.0 Bohr magnetons per cell
DOS(E_F) = 4.31 states/eV/f.u.
formation enthalpy at 0 K = -0.36 eV per atom
raw total energy = -3.558 eV per atom

***

Below is a relaxed BaPrAgAu crystal, with properties calculated at the PBE level.

Lattice parameters (Å, degrees): 7.805 7.805 7.805 90.00 90.00 90.00
Space group F-43m (No. 216)
Unique sites:
Ba1 0.000 0.000 0.000
Pr1 0.000 0.000 0.500
Ag1 0.250 0.250 0.750
Au1 0.250 0.250 0.250

Output
magnetization = 0.0 Bohr magnetons per cell
DOS(E_F) = 4.17 states/eV/f.u.
formation enthalpy at 0 K = -0.37 eV per atom
raw total energy = -3.576 eV per atom

***

Computed values of V (unit: Å³/f.u.) for the preceding records, in sequence: 119.22; 117.70; 585.89; 229.93; 387.61; 294.62; 447.22; 143.07; 598.75; 106.26; 116.60; 118.89.